Compound: K2IrBr
Source: Alexandria
Functional: PBE
Structure: relaxed

Computed properties:
E	-3.07	eV/atom
distance to the lowest polymorph of the same formula	0.0570	eV per atom
formation energy without anion corrections	0.1124	eV/atom
V	112.58	Å³/cell

Lattice parameters (Å, degrees): 9.1721 6.1313 2.9947 90.01 70.93 131.92
Site moments in Bohr magnetons follow the coordinates.
Atoms (fractional coordinates):
1 K 0.0000 0.0000 0.0000  0.00
2 K 0.5000 0.0000 0.5000  0.00
3 Br 0.0000 0.5000 0.5000  0.01
4 Ir 0.5000 0.5000 0.0000  0.76

Compound: Sm4Tm3ThSe8
Source: Alexandria
Functional: PBE
Structure: relaxed

Computed properties:
E	-5.94	eV/atom
formation energy without anion corrections	-1.7135	eV/atom
V	396.55	Å³/cell

Lattice parameters (Å, degrees): 8.2267 8.2667 8.2315 119.90 119.98 90.00
Atoms (fractional coordinates):
1 Sm 0.0000 0.0000 0.5000
2 Sm 0.5000 0.0000 0.5000
3 Sm 0.0000 0.0000 0.0000
4 Sm 0.5000 0.0000 0.0000
5 Tm 0.5000 0.5000 0.5000
6 Tm 0.5000 0.5000 0.0000
7 Tm 0.0000 0.5000 0.5000
8 Se 0.7382 0.7409 0.9895
9 Se 0.7448 0.7346 0.4897
10 Se 0.2513 0.7409 0.9895
11 Se 0.2514 0.7408 0.5027
12 Se 0.7487 0.2591 0.0105
13 Se 0.2618 0.2591 0.0105
14 Se 0.7486 0.2592 0.4973
15 Se 0.2552 0.2654 0.5103
16 Th 0.0000 0.5000 0.0000

Compound: Nd4Y4Ho3
Source: Alexandria
Functional: PBE
Structure: relaxed

Computed properties:
E	-5.28	eV/atom
distance to the lowest polymorph of the same formula	0.0000	eV per atom
V	362.05	Å³/cell
formation enthalpy at 0 K	0.053	eV/atom

Lattice parameters (Å, degrees): 3.5472 5.6609 18.3363 81.14 84.44 90.00
Atoms (fractional coordinates):
1 Y 0.7328 0.7330 0.5342
2 Y 0.5908 0.0914 0.8187
3 Y 0.2672 0.2671 0.4658
4 Y 0.4092 0.9086 0.1813
5 Ho 0.8630 0.3631 0.2737
6 Ho 0.0000 0.0000 0.0000
7 Ho 0.1370 0.6370 0.7263
8 Nd 0.5458 0.5467 0.9083
9 Nd 0.3202 0.8202 0.3594
10 Nd 0.6798 0.1798 0.6406
11 Nd 0.4542 0.4533 0.0917

Compound: Nd4Ho3TmTe8
Source: Alexandria
Functional: PBE
Structure: relaxed

Computed properties:
E	-5.23	eV/atom
formation energy without anion corrections	-1.3289	eV/atom
V	486.44	Å³/cell

Lattice parameters (Å, degrees): 8.6982 8.9628 8.6990 119.04 120.00 90.00
Atoms (fractional coordinates):
1 Te 0.2535 0.2653 0.0094
2 Te 0.7453 0.7358 0.4905
3 Te 0.7465 0.7347 0.9906
4 Te 0.2441 0.7347 0.4881
5 Te 0.7559 0.2653 0.5119
6 Te 0.2441 0.7347 0.9906
7 Te 0.7559 0.2653 0.0094
8 Te 0.2547 0.2642 0.5095
9 Ho 0.5000 0.5000 0.0000
10 Ho 0.5000 0.5000 0.5000
11 Ho 0.0000 0.5000 0.5000
12 Nd 0.0000 0.0000 0.0000
13 Nd 0.5000 0.0000 0.0000
14 Nd 0.5000 0.0000 0.5000
15 Nd 0.0000 0.0000 0.5000
16 Tm 0.0000 0.5000 0.0000

Compound: Mg2Zn5Ru2Pt
Source: Alexandria
Functional: PBE
Structure: relaxed

Computed properties:
E	-3.57	eV/atom
V	327.61	Å³/cell
formation enthalpy at 0 K	-0.155	eV/atom

Lattice parameters (Å, degrees): 3.5113 9.6593 9.6593 90.00 90.00 90.00
Atoms (fractional coordinates):
1 Ru 0.0000 0.3690 0.1310
2 Ru 0.0000 0.6310 0.8690
3 Ru 0.0000 0.8690 0.3690
4 Ru 0.0000 0.1310 0.6310
5 Zn 0.5000 0.0721 0.8113
6 Zn 0.5000 0.3113 0.5721
7 Zn 0.5000 0.5721 0.6887
8 Zn 0.5000 0.4279 0.3113
9 Zn 0.5000 0.6887 0.4279
10 Zn 0.5000 0.8113 0.9279
11 Zn 0.5000 0.9279 0.1887
12 Zn 0.5000 0.5000 0.0000
13 Zn 0.5000 0.1887 0.0721
14 Zn 0.5000 0.0000 0.5000
15 Mg 0.0000 0.3330 0.8330
16 Mg 0.0000 0.8330 0.6670
17 Mg 0.0000 0.1670 0.3330
18 Mg 0.0000 0.6670 0.1670
19 Pt 0.0000 0.5000 0.5000
20 Pt 0.0000 0.0000 0.0000

Compound: LiAs2Au
Source: Alexandria
Functional: PBE
Structure: relaxed

Computed properties:
E	-3.65	eV/atom
distance to the lowest polymorph of the same formula	0.2129	eV per atom
V	72.49	Å³/cell
formation enthalpy at 0 K	-0.023	eV/atom

Lattice parameters (Å, degrees): 4.6802 4.6802 4.6802 60.00 60.00 60.00
Atoms (fractional coordinates):
1 Au 0.5000 0.5000 0.5000
2 As 0.2500 0.2500 0.2500
3 As 0.7500 0.7500 0.7500
4 Li 0.0000 0.0000 0.0000

Compound: La2Y3Tc
Source: Alexandria
Functional: PBE
Structure: relaxed

Computed properties:
E	-6.54	eV/atom
V	365.13	Å³/cell
formation enthalpy at 0 K	0.064	eV/atom

Lattice parameters (Å, degrees): 6.9069 7.5207 9.8278 113.63 117.42 55.14
Atoms (fractional coordinates):
1 Y 0.8660 0.4438 0.7462
2 Y 0.1045 0.0656 0.2177
3 Y 0.4739 0.2667 0.9991
4 Y 0.8955 0.9344 0.7823
5 Y 0.1340 0.5562 0.2538
6 Y 0.5261 0.7333 0.0009
7 Tc 0.0682 0.2336 0.9908
8 Tc 0.9318 0.7664 0.0092
9 La 0.6888 0.0792 0.3438
10 La 0.3112 0.9208 0.6562
11 La 0.6769 0.6183 0.3861
12 La 0.3231 0.3817 0.6139

Compound: Li2Tb3Tl6
Source: Alexandria
Functional: PBE
Structure: relaxed

Computed properties:
E	-3.08	eV/atom
V	281.15	Å³/cell
formation enthalpy at 0 K	-0.181	eV/atom

Lattice parameters (Å, degrees): 4.6755 4.6755 13.2791 100.14 100.14 90.00
Atoms (fractional coordinates):
1 Tb 0.8091 0.8091 0.6182
2 Tb 0.1909 0.1909 0.3818
3 Tb 0.0000 0.0000 0.0000
4 Li 0.4538 0.4538 0.9076
5 Li 0.5462 0.5462 0.0924
6 Tl 0.6889 0.6889 0.3779
7 Tl 0.4034 0.9034 0.8069
8 Tl 0.3111 0.3111 0.6221
9 Tl 0.5966 0.0966 0.1931
10 Tl 0.9034 0.4034 0.8069
11 Tl 0.0966 0.5966 0.1931

Compound: Tl3TeO
Source: Alexandria
Functional: PBE
Structure: relaxed

Computed properties:
E	-3.35	eV/atom
distance to the lowest polymorph of the same formula	0.0000	eV per atom
formation energy without anion corrections	-0.3105	eV/atom
V	288.84	Å³/cell

Lattice parameters (Å, degrees): 4.2772 9.3415 7.7294 110.73 90.00 90.00
Atoms (fractional coordinates):
1 Tl 0.2500 0.6563 0.0381
2 Tl 0.7500 0.0133 0.3129
3 Tl 0.7500 0.3437 0.9619
4 Tl 0.2500 0.3583 0.6022
5 Tl 0.2500 0.9867 0.6871
6 Tl 0.7500 0.6417 0.3978
7 Te 0.2500 0.2196 0.1513
8 Te 0.7500 0.7804 0.8487
9 O 0.2500 0.7987 0.3518
10 O 0.7500 0.2013 0.6482

Compound: NaSr2Zr
Source: Alexandria
Functional: PBE
Structure: relaxed

Computed properties:
E	-2.72	eV/atom
distance to the lowest polymorph of the same formula	0.0000	eV per atom
V	151.59	Å³/cell
formation enthalpy at 0 K	0.593	eV/atom

Lattice parameters (Å, degrees): 5.9849 5.9849 5.9849 60.00 60.00 60.00
Atoms (fractional coordinates):
1 Sr 0.7500 0.7500 0.7500
2 Sr 0.2500 0.2500 0.2500
3 Na 0.0000 0.0000 0.0000
4 Zr 0.5000 0.5000 0.5000

Compound: AcPr2ErP4
Source: Alexandria
Functional: PBE
Structure: relaxed

Computed properties:
E	-6.46	eV/atom
V	211.83	Å³/cell
formation enthalpy at 0 K	-1.474	eV/atom

Lattice parameters (Å, degrees): 4.2163 7.2973 7.2972 70.65 90.00 90.00
Atoms (fractional coordinates):
1 Er 0.0000 0.5000 0.5000
2 Pr 0.5000 0.0000 0.5000
3 Pr 0.0000 0.0000 0.0000
4 P 0.5000 0.2554 0.7371
5 P 0.5000 0.7446 0.2629
6 P 0.0000 0.7532 0.7369
7 P 0.0000 0.2469 0.2631
8 Ac 0.5000 0.5000 0.0000

Compound: RbLiSc3
Source: Alexandria
Functional: PBE
Structure: relaxed

Computed properties:
E	-3.59	eV/atom
distance to the lowest polymorph of the same formula	0.0000	eV per atom
V	153.55	Å³/cell
formation enthalpy at 0 K	0.783	eV/atom

Lattice parameters (Å, degrees): 5.3549 5.3549 5.3549 90.00 90.00 90.00
Atoms (fractional coordinates):
1 Sc 0.5000 0.0000 0.0000
2 Sc 0.0000 0.0000 0.5000
3 Sc 0.0000 0.5000 0.0000
4 Li 0.0000 0.0000 0.0000
5 Rb 0.5000 0.5000 0.5000

Compound: ZrBeAs2
Source: Alexandria
Functional: PBE
Structure: relaxed

Computed properties:
E	-5.88	eV/atom
V	69.94	Å³/cell
formation enthalpy at 0 K	-0.484	eV/atom

Lattice parameters (Å, degrees): 5.5626 5.5626 3.7028 87.18 87.18 37.68
Atoms (fractional coordinates):
1 Be 0.4989 0.4989 0.4035
2 As 0.2900 0.2900 0.3505
3 As 0.0040 0.0040 0.8817
4 Zr 0.7070 0.7070 0.8643

Compound: Te2PdI
Source: Alexandria
Functional: PBE
Structure: relaxed

Computed properties:
E	-3.30	eV/atom
formation energy without anion corrections	-0.0471	eV/atom
V	1018.33	Å³/cell

Lattice parameters (Å, degrees): 16.5828 7.9422 7.9422 88.66 99.14 80.86
Atoms (fractional coordinates):
1 Te 0.3850 0.6727 0.8355
2 Te 0.7500 0.4765 0.9765
3 Te 0.2042 0.9392 0.9752
4 Te 0.2500 0.5235 0.0235
5 Te 0.7958 0.0608 0.0248
6 Te 0.8850 0.6645 0.8273
7 Te 0.1150 0.3355 0.1727
8 Te 0.2958 0.4752 0.4392
9 Te 0.2500 0.9407 0.4407
10 Te 0.6150 0.3273 0.1645
11 Te 0.7042 0.5248 0.5608
12 Te 0.4408 0.1349 0.8703
13 Te 0.5592 0.8651 0.1297
14 Te 0.0592 0.3703 0.6349
15 Te 0.9408 0.6297 0.3651
16 Te 0.7500 0.0593 0.5593
17 I 0.0446 0.8046 0.8846
18 I 0.5853 0.0932 0.6959
19 I 0.4147 0.9068 0.3041
20 I 0.5446 0.6154 0.6954
21 I 0.0853 0.8041 0.4068
22 I 0.4554 0.3846 0.3046
23 I 0.9147 0.1959 0.5932
24 I 0.9554 0.1954 0.1154
25 Pd 0.8162 0.7383 0.1084
26 Pd 0.1838 0.2617 0.8916
27 Pd 0.8078 0.7370 0.5085
28 Pd 0.6922 0.0085 0.2370
29 Pd 0.3078 0.9915 0.7630
30 Pd 0.3162 0.3916 0.7617
31 Pd 0.1922 0.2630 0.4915
32 Pd 0.6838 0.6084 0.2383

Compound: BaZn2SiPt
Source: Alexandria
Functional: PBE
Structure: relaxed

Computed properties:
E	-3.55	eV/atom
formation energy without anion corrections	-0.3589	eV/atom
V	116.18	Å³/cell

Lattice parameters (Å, degrees): 4.9487 4.9487 4.7438 90.00 90.00 90.00
Atoms (fractional coordinates):
1 Zn 0.5000 0.0000 0.0000
2 Zn 0.0000 0.5000 0.0000
3 Pt 0.0000 0.0000 0.0000
4 Ba 0.5000 0.5000 0.5000
5 Si 0.0000 0.0000 0.5000

Compound: Sb2PbAu
Source: Alexandria
Functional: PBE
Structure: relaxed

Computed properties:
E	-3.65	eV/atom
formation energy without anion corrections	0.1541	eV/atom
V	104.74	Å³/cell

Lattice parameters (Å, degrees): 5.4868 5.4868 5.4868 125.86 125.86 80.12
Atoms (fractional coordinates):
1 Sb 0.2500 0.7500 0.5000
2 Sb 0.0000 0.0000 0.0000
3 Au 0.5000 0.5000 0.0000
4 Pb 0.7500 0.2500 0.5000

Compound: Cs2NdNpSe4
Source: Alexandria
Functional: PBE
Structure: relaxed

Computed properties:
E	-5.64	eV/atom
formation energy without anion corrections	-1.4689	eV/atom
V	278.39	Å³/cell

Lattice parameters (Å, degrees): 4.3812 7.5781 8.7602 106.83 90.00 90.00
Site moments in Bohr magnetons follow the coordinates.
Atoms (fractional coordinates):
1 Np 0.5000 0.5000 0.0000  3.93
2 Cs 0.0000 0.5000 0.5000  0.00
3 Cs 0.5000 0.0000 0.5000  0.00
4 Se 0.5000 0.2335 0.1900  -0.02
5 Se 0.0000 0.2763 0.8138  -0.05
6 Se 0.5000 0.7665 0.8100  -0.02
7 Se 0.0000 0.7237 0.1862  -0.05
8 Nd 0.0000 0.0000 0.0000  0.04

Compound: Ce8Os5Pt
Source: Alexandria
Functional: PBE
Structure: relaxed

Computed properties:
E	-8.13	eV/atom
V	324.61	Å³/cell
formation enthalpy at 0 K	-0.293	eV/atom

Lattice parameters (Å, degrees): 7.4993 7.4993 7.4993 109.01 110.40 109.01
Atoms (fractional coordinates):
1 Ce 0.7372 0.2447 0.3684
2 Ce 0.0002 0.1240 0.7595
3 Ce 0.6355 0.8760 0.8762
4 Ce 0.6316 0.3688 0.8763
5 Ce 0.2405 0.2407 0.3645
6 Ce 0.1237 0.7553 0.4925
7 Ce 0.5075 0.6312 0.2628
8 Ce 0.1238 0.7593 0.9998
9 Os 0.5000 0.0000 0.5000
10 Os 0.8686 0.8821 0.2529
11 Os 0.0136 0.3843 0.1314
12 Os 0.7471 0.6157 0.6293
13 Os 0.3707 0.1179 0.9864
14 Pt 0.2500 0.5000 0.7500

Compound: KSiN2F
Source: Alexandria
Functional: PBE
Structure: relaxed

Computed properties:
E	-5.67	eV/atom
distance to the lowest polymorph of the same formula	0.0000	eV per atom
formation energy without anion corrections	-0.6603	eV/atom
V	60.90	Å³/cell

Lattice parameters (Å, degrees): 3.4972 3.4972 4.9797 90.00 90.00 90.00
Atoms (fractional coordinates):
1 Si 0.0000 0.0000 0.0000
2 F 0.0000 0.0000 0.5000
3 N 0.5000 0.0000 0.0000
4 N 0.0000 0.5000 0.0000
5 K 0.5000 0.5000 0.5000

Compound: Tc2IrRh6
Source: Alexandria
Functional: PBE
Structure: relaxed

Computed properties:
E	-8.26	eV/atom
distance to the lowest polymorph of the same formula	0.0000	eV per atom
V	128.32	Å³/cell
formation enthalpy at 0 K	-0.066	eV/atom

Lattice parameters (Å, degrees): 2.7123 6.1004 8.1708 102.88 90.00 102.84
Atoms (fractional coordinates):
1 Rh 0.6678 0.3357 0.8922
2 Rh 0.6685 0.3370 0.5529
3 Rh 0.0002 0.0005 0.3311
4 Rh 0.3315 0.6630 0.4471
5 Rh 0.3322 0.6643 0.1078
6 Rh 0.9998 0.9995 0.6689
7 Tc 0.3333 0.6666 0.7756
8 Tc 0.6667 0.3334 0.2244
9 Ir 0.0000 0.0000 0.0000